! AcIn8Rh4 (GGA-PBE, relaxed); values from VASP
&SYSTEM
  ibrav = 0, nat = 13, ntyp = 3
/
ATOMIC_SPECIES
Ac 227.00 Ac.upf
In 114.82 In.upf
Rh 102.91 Rh.upf
CELL_PARAMETERS angstrom
-4.806 4.806 2.924
4.806 -4.806 2.924
4.806 4.806 -2.924
ATOMIC_POSITIONS crystal
Ac 0.000 0.000 0.000
In 0.000 0.341 0.341
In 0.000 0.659 0.659
In 0.277 0.500 0.777
In 0.341 0.000 0.341
In 0.500 0.277 0.777
In 0.500 0.723 0.223
In 0.659 0.000 0.659
In 0.723 0.500 0.223
Rh 0.000 0.000 0.500
Rh 0.000 0.500 0.000
Rh 0.500 0.000 0.000
Rh 0.500 0.500 0.500
! Energy relative to the elements ... -364 meV per atom



! RbAcSCl2 (GGA-PBE, relaxed); values from VASP
&SYSTEM
  ibrav = 0, nat = 5, ntyp = 4
/
ATOMIC_SPECIES
Rb 85.47 Rb.upf
Ac 227.00 Ac.upf
S 32.06 S.upf
Cl 35.45 Cl.upf
CELL_PARAMETERS angstrom
5.835 0.000 0.000
0.000 5.835 0.000
0.000 0.000 5.710
ATOMIC_POSITIONS crystal
Rb 0.000 0.000 0.000
Ac 0.500 0.500 0.498
S 0.500 0.500 0.998
Cl 0.000 0.500 0.496
Cl 0.500 0.000 0.496
! Formation energy from raw total energies ... -1.997 eV per atom



! Pr2SmHo3Bi6 (GGA-PBE, relaxed); values from VASP
&SYSTEM
  ibrav = 0, nat = 12, ntyp = 4
/
ATOMIC_SPECIES
Pr 140.91 Pr.upf
Sm 150.36 Sm.upf
Ho 164.93 Ho.upf
Bi 208.98 Bi.upf
CELL_PARAMETERS angstrom
9.883 -2.270 0.000
9.883 2.270 0.000
-2.060 0.000 8.835
ATOMIC_POSITIONS crystal
Pr 0.166 0.166 0.333
Pr 0.834 0.834 0.667
Sm 0.500 0.500 0.000
Ho 0.167 0.167 0.834
Ho 0.500 0.500 0.500
Ho 0.833 0.833 0.166
Bi 0.003 0.003 0.747
Bi 0.332 0.332 0.924
Bi 0.336 0.336 0.410
Bi 0.664 0.664 0.590
Bi 0.668 0.668 0.076
Bi 0.997 0.997 0.253
! Energy relative to the elements ... -889 meV per atom



! NaNdSn4 (GGA-PBE, relaxed); values from VASP
&SYSTEM
  ibrav = 0, nat = 6, ntyp = 3
/
ATOMIC_SPECIES
Na 22.99 Na.upf
Nd 144.24 Nd.upf
Sn 118.71 Sn.upf
CELL_PARAMETERS angstrom
0.000 4.408 4.408
4.408 0.000 4.408
4.408 4.408 0.000
ATOMIC_POSITIONS crystal
Na 0.000 0.000 0.000
Nd 0.250 0.250 0.250
Sn 0.125 0.625 0.625
Sn 0.625 0.125 0.625
Sn 0.625 0.625 0.125
Sn 0.625 0.625 0.625
! Energy relative to the elements ... -294 meV per atom
! Offset from the most stable computed form ... 0.38 eV/f.u.



! LaCuAs2 (GGA-PBE, relaxed); values from VASP
&SYSTEM
  ibrav = 0, nat = 4, ntyp = 3
/
ATOMIC_SPECIES
La 138.91 La.upf
Cu 63.55 Cu.upf
As 74.92 As.upf
CELL_PARAMETERS angstrom
0.000 3.493 3.493
3.493 0.000 3.493
3.493 3.493 0.000
ATOMIC_POSITIONS crystal
La 0.000 0.000 0.000
Cu 0.500 0.500 0.500
As 0.250 0.250 0.250
As 0.750 0.750 0.750
! Energy relative to the elements ... -368 meV per atom



! ErCuSi (GGA-PBE, relaxed); values from VASP
&SYSTEM
  ibrav = 0, nat = 3, ntyp = 3
/
ATOMIC_SPECIES
Er 167.26 Er.upf
Cu 63.55 Cu.upf
Si 28.09 Si.upf
CELL_PARAMETERS angstrom
0.000 3.054 3.054
3.054 0.000 3.054
3.054 3.054 0.000
ATOMIC_POSITIONS crystal
Er 0.000 0.000 0.000
Cu 0.750 0.750 0.750
Si 0.500 0.500 0.500
! Formation energy from raw total energies ... -0.518 eV per atom